1.
Compound: PrDyCu
Source: Alexandria via LeMat-Bulk
Functional: GGA-PBE
Structure: relaxed

Calculated values
- total energy (eV per atom) = -4.591
- crystal system = tetragonal
- energy relative to the lowest polymorph listed for this composition (meV per atom) = 16
- ΔE_f (eV/atom) = -0.10

a b c (Å): 6.765 6.765 6.765
angles (deg): 149.57 149.57 43.58
Fractional coordinates of all 3 atoms:
Pr (0.000, 0.000, 0.000)
Dy (0.278, 0.278, 0.000)
Cu (0.657, 0.657, 0.000)

2.
Compound: Pr2DyCu
Source: Alexandria via LeMat-Bulk
Functional: GGA-PBE
Structure: relaxed

Calculated values
- total energy (eV per atom) = -4.293
- crystal system = trigonal
- energy relative to the lowest polymorph listed for this composition (meV per atom) = 300
- ΔE_f (eV/atom) = 0.27

a b c (Å): 11.294 11.294 11.294
angles (deg): 18.11 18.11 18.11
Fractional coordinates of all 4 atoms:
Pr (0.102, 0.102, 0.102)
Pr (0.898, 0.898, 0.898)
Dy (0.000, 0.000, 0.000)
Cu (0.500, 0.500, 0.500)

3.
Compound: PrDyCu4
Source: Alexandria via LeMat-Bulk
Functional: GGA-PBE
Structure: relaxed

Calculated values
- total energy (eV per atom) = -4.404
- crystal system = cubic
- energy relative to the lowest polymorph listed for this composition (meV per atom) = 118
- ΔE_f (eV/atom) = -0.11

a b c (Å): 5.326 5.326 5.326
angles (deg): 60.00 60.00 60.00
Fractional coordinates of all 6 atoms:
Pr (0.000, 0.000, 0.000)
Dy (0.250, 0.250, 0.250)
Cu (0.128, 0.624, 0.624)
Cu (0.624, 0.128, 0.624)
Cu (0.624, 0.624, 0.128)
Cu (0.624, 0.624, 0.624)

4.
Compound: Pr4DyCu5
Source: Alexandria via LeMat-Bulk
Functional: GGA-PBE
Structure: relaxed

Calculated values
- total energy (eV per atom) = -4.565
- crystal system = tetragonal
- ΔE_f (eV/atom) = -0.14

a b c (Å): 3.570 3.570 18.132
angles (deg): 90.00 90.00 90.00
Fractional coordinates of all 10 atoms:
Pr (0.000, 0.000, 0.101)
Pr (0.000, 0.000, 0.305)
Pr (0.000, 0.000, 0.695)
Pr (0.000, 0.000, 0.899)
Dy (0.000, 0.000, 0.500)
Cu (0.500, 0.500, 0.000)
Cu (0.500, 0.500, 0.202)
Cu (0.500, 0.500, 0.411)
Cu (0.500, 0.500, 0.589)
Cu (0.500, 0.500, 0.798)

- ΔE_f of number 4 (Pr4DyCu5)?
  -0.14 eV/atom